# CuAgAs2 | Alexandria via LeMat-Bulk | PBE | optimized geometry
data_CuAgAs2
_symmetry_space_group_name_H-M 'P 1'
_symmetry_Int_Tables_number 1
_symmetry_space_group_name_Hall 'P 1'
_cell_length_a 5.140
_cell_length_b 5.140
_cell_length_c 5.140
_cell_angle_alpha 134.41
_cell_angle_beta 132.94
_cell_angle_gamma 67.60
loop_
_atom_site_label
_atom_site_fract_x
_atom_site_fract_y
_atom_site_fract_z
_atom_site_occupancy
Ag1 0.252 0.752 0.500 1
As1 0.997 0.997 0.000 1
As2 0.745 0.245 0.500 1
Cu1 0.506 0.506 0.000 1
# ρ	7.6	g/cm³
# distance to the lowest polymorph of the same formula	0.1293	eV/atom